(1)
A geometry-optimized KHgH structure, computed with PBE-GGA.

Computed properties:
Uncorrected energy: -1.651 eV per atom
Distance to the lowest polymorph of the same formula: 60 meV per atom
ρ: 4.55 g cm⁻³

Unit cell a=3.7145 b=3.7145 c=6.8892 alpha=105.64 beta=105.64 gamma=90.00
With the nearest neighbours (Å) after each atom.
Atoms (fractional coordinates):
K1 0.7538 0.7538 0.5076  4 H 2.67
Hg1 0.0286 0.0286 0.0573  1 H 2.41
H1 0.2175 0.2175 0.4351  1 Hg 2.41, 4 K 2.67

(2)
A geometry-optimized KHg4H structure, computed with PBE-GGA.

Computed properties:
Uncorrected energy: -0.976 eV per atom
ρ: 8.63 g cm⁻³

Unit cell a=11.7884 b=9.2826 c=6.4916 alpha=135.64 beta=121.99 gamma=90.00
With the nearest neighbours (Å) after each atom.
Atoms (fractional coordinates):
H1 0.7500 0.0292 0.0000  2 Hg 2.10
K1 0.5000 0.0000 0.5000  2 H 2.81
Hg1 0.1530 0.4765 0.1101  5 Hg 2.99-3.34, 1 H 3.29
Hg2 0.5995 0.8890 0.9824  1 H 2.10
Hg3 0.3470 0.3664 0.8899  5 Hg 2.99-3.34, 1 H 3.29
Hg4 0.4005 0.1110 0.0176  1 H 2.10
Hg5 0.8470 0.5235 0.8899  5 Hg 2.99-3.34, 1 H 3.29
K2 0.0000 0.5000 0.5000  2 H 2.81
H2 0.2500 0.9708 0.0000  2 Hg 2.10
Hg6 0.9005 0.9067 0.0176  1 H 2.10
Hg7 0.6530 0.6336 0.1101  5 Hg 2.99-3.34, 1 H 3.29
Hg8 0.0995 0.0933 0.9824  1 H 2.10

(3)
A geometry-optimized K2HgH structure, computed with PBE-GGA.

Computed properties:
Uncorrected energy: -1.587 eV per atom
Distance to the lowest polymorph of the same formula: 5 meV per atom
ρ: 4.21 g cm⁻³

Unit cell a=3.5402 b=3.5402 c=8.8016 alpha=90.00 beta=90.00 gamma=90.00
With the nearest neighbours (Å) after each atom.
Atoms (fractional coordinates):
Hg1 0.5000 0.5000 0.5000  4 Hg 3.54, 8 K 3.69
H1 0.5000 0.5000 0.0000  8 K 3.02
K1 0.0000 0.0000 0.1923  4 H 3.02
K2 0.0000 0.0000 0.8077  4 H 3.02